Entry 1:
An optimized crystal structure of DyHo2Ni4Sn4, computed with PBE.

abc: 4.3632 7.0079 14.1978
angles: 90.00 90.00 90.00
With the nearest neighbours (Å) after each atom.
Space group Immm (No. 71)
Asymmetric unit:
1 Dy 0.0000 0.0000 0.0000  6 Sn 3.01-3.07
2 Ho 0.0000 0.5000 0.1315  6 Ni 3.02-3.14, 6 Sn 3.07-3.21
3 Ni 0.0000 0.3078 0.3217  4 Sn 2.62-2.63, 1 Ni 2.69
4 Sn 0.0000 0.0000 0.2163  6 Ni 2.62-2.63
5 Sn 0.0000 0.2039 0.5000  2 Ni 2.63, 1 Sn 2.86

Entry 2:
An optimized crystal structure of NbTeAuO, computed with PBE.

## Properties
**Relative energy among the computed polymorphs**: 0 meV/atom

abc: 3.6501 3.6501 11.8949
angles: 90.00 90.00 90.00
With the nearest neighbours (Å) after each atom.
Space group P4/nmm (No. 129, origin choice 2)
Asymmetric unit:
1 Nb 0.2500 0.2500 0.0986  4 O 2.17
2 Te 0.2500 0.2500 0.7661  4 Nb 3.04, 4 O 3.33
3 Au 0.2500 0.7500 0.5000  4 Au 2.58
4 O 0.2500 0.7500 0.0000  4 Nb 2.17

Entry 3:
An optimized crystal structure of HfZn, computed with PBE.

abc: 3.0432 4.8376 5.1541
angles: 90.00 90.00 90.00
With the nearest neighbours (Å) after each atom.
Space group Pmmn (No. 59, origin choice 2)
Asymmetric unit:
1 Hf 0.2500 0.2500 0.0903  6 Zn 2.92-3.00, 6 Hf 3.01-3.04
2 Zn 0.2500 0.7500 0.4082  6 Hf 2.92-3.00, 6 Zn 3.01-3.04

Entry 4:
An optimized crystal structure of TmSbPd, computed with PBE.

abc: 6.7871 6.7871 6.7871
angles: 90.00 90.00 90.00
With the nearest neighbours (Å) after each atom.
Space group F-43m (No. 216)
Asymmetric unit:
1 Tm 0.0000 0.0000 0.0000  4 Sb 2.94, 4 Pd 2.94
2 Sb 0.2500 0.2500 0.2500  4 Tm 2.94
3 Pd 0.2500 0.2500 0.7500  4 Tm 2.94

Entry 5:
An optimized crystal structure of CsFeAgSe3, computed with PBE.

abc: 3.7912 16.1966 10.3925
angles: 90.00 90.00 90.00
With the nearest neighbours (Å) after each atom.
Space group Cmcm (No. 63)
Asymmetric unit:
1 Cs 0.0000 0.2447 0.2500  8 Se 3.63-3.87, 2 Ag 3.71, 2 Cs 3.79
2 Fe 0.0000 0.0000 0.0000  4 Se 2.50
3 Ag 0.0000 0.4525 0.7500  4 Se 2.56-2.62
4 Se 0.0000 0.0641 0.7500  2 Ag 2.62, 2 Fe 2.80
5 Se 0.0000 0.4003 0.5176  2 Fe 2.50, 1 Ag 2.56

Entry 6:
An optimized crystal structure of TbSm5In3, computed with PBE.

abc: 9.4987 9.4987 6.8346
angles: 90.00 90.00 120.00
With the nearest neighbours (Å) after each atom.
Space group P6_3/mcm (No. 193)
Asymmetric unit:
1 Tb 0.0000 0.0000 0.0000  2 Tb 3.42, 6 In 3.57, 6 Sm 3.61
2 Sm 0.0000 0.3350 0.2500  5 In 3.16-3.42
3 Sm 0.3333 0.6667 0.0000  8 Sm 3.42-3.59, 6 In 3.61
4 In 0.0000 0.3300 0.7500  5 Sm 3.16-3.42

Entry 7:
An optimized crystal structure of HoTmCo2Si4, computed with PBE.

abc: 3.9440 3.9839 16.2699
angles: 90.00 90.00 90.00
With the nearest neighbours (Å) after each atom.
Space group Amm2 (No. 38)
Asymmetric unit:
1 Ho 0.0000 0.0000 0.0000  10 Si 3.00-3.15, 4 Co 3.03
2 Tm 0.5000 0.0000 0.7846  10 Si 3.00-3.15, 4 Co 3.03
3 Co 0.0000 0.0000 0.2144  5 Si 2.20-2.31
4 Co 0.5000 0.0000 0.5704  5 Si 2.21-2.31
5 Si 0.0000 0.0000 0.3498  1 Co 2.20, 2 Si 2.41
6 Si 0.0000 0.0000 0.6425  4 Co 2.29-2.31
7 Si 0.5000 0.0000 0.1423  4 Co 2.29-2.31
8 Si 0.5000 0.0000 0.4347  1 Co 2.21, 2 Si 2.41

Entry 8:
An optimized crystal structure of Be2ReHg, computed with PBE.

abc: 6.0806 6.0806 6.0806
angles: 90.00 90.00 90.00
With the nearest neighbours (Å) after each atom.
Space group F-43m (No. 216)
Asymmetric unit:
1 Be 0.0000 0.0000 0.0000  4 Hg 2.63, 4 Be 2.63
2 Be 0.2500 0.2500 0.2500  4 Re 2.63, 4 Be 2.63
3 Re 0.0000 0.0000 0.5000  4 Hg 2.63, 4 Be 2.63
4 Hg 0.2500 0.2500 0.7500  4 Be 2.63, 4 Re 2.63

no.,VASP energy (eV per atom)
1,-5.2915
2,-6.1571
3,-5.5291
4,-5.0354
5,-4.0429
6,-4.3962
7,-6.3970
8,-4.1027